DFT (PBE-GGA) results for FeTcNi2 after structural relaxation.

Geometry as CIF:
```
data_FeTcNi2
_chemical_formula_sum 'Fe1 Tc1 Ni2'
_space_group_name_H-M_alt 'P 4 m m'
_space_group_IT_number 99
_cell_length_a 2.975
_cell_length_b 2.975
_cell_length_c 5.425
_cell_angle_alpha 90.00
_cell_angle_beta 90.00
_cell_angle_gamma 90.00
loop_
_space_group_symop_operation_xyz
'x,y,z'
'-y,x,z'
'-x,-y,z'
'y,-x,z'
'-x,y,z'
'y,x,z'
'x,-y,z'
'-y,-x,z'
loop_
_atom_site_label
_atom_site_type_symbol
_atom_site_fract_x
_atom_site_fract_y
_atom_site_fract_z
Fe1 Fe 0.000 0.000 0.000
Tc1 Tc 0.500 0.500 0.729
Ni1 Ni 0.000 0.000 0.461
Ni2 Ni 0.500 0.500 0.230
```

Summary:
Spin magnetization, μB per cell: 2.6
Offset from the most stable computed form, meV/atom: 93
Calculated formation energy, meV per atom: 90.0

DFT (PBE-GGA) results for KTi3Tc after structural relaxation.

Geometry as CIF:
```
data_KTi3Tc
_chemical_formula_sum 'K1 Ti3 Tc1'
_space_group_name_H-M_alt 'P m -3 m'
_space_group_IT_number 221
_space_group_name_Hall '-P 4 2 3'
_cell_length_a 4.905
_cell_length_b 4.905
_cell_length_c 4.905
_cell_angle_alpha 90.00
_cell_angle_beta 90.00
_cell_angle_gamma 90.00
loop_
_atom_site_label
_atom_site_type_symbol
_atom_site_fract_x
_atom_site_fract_y
_atom_site_fract_z
K1 K 0.000 0.000 0.000
Ti1 Ti 0.000 0.500 0.500
Tc1 Tc 0.500 0.500 0.500
```

Summary:
Spin magnetization, μB per cell: 1.8
Offset from the most stable computed form, meV/atom: 0
Calculated formation energy, meV per atom: 679.9

DFT (PBE-GGA) results for La2CePrBi4 after structural relaxation.

Geometry as CIF:
```
data_La2CePrBi4
_chemical_formula_sum 'La2 Ce1 Pr1 Bi4'
_space_group_name_H-M_alt 'P 1 2/m 1'
_space_group_IT_number 10
_cell_length_a 8.077
_cell_length_b 4.666
_cell_length_c 8.082
_cell_angle_alpha 90.00
_cell_angle_beta 109.45
_cell_angle_gamma 90.00
loop_
_space_group_symop_operation_xyz
'x,y,z'
'-x,-y,-z'
'-x,y,-z'
'x,-y,z'
loop_
_atom_site_label
_atom_site_type_symbol
_atom_site_fract_x
_atom_site_fract_y
_atom_site_fract_z
La1 La 0.000 0.000 0.000
La2 La 0.500 0.500 0.000
Ce1 Ce 0.000 0.500 0.500
Pr1 Pr 0.500 0.000 0.500
Bi1 Bi 0.246 0.000 0.745
Bi2 Bi 0.249 0.500 0.254
```

Summary:
Spin magnetization, μB per cell: 0.8
Calculated formation energy, meV per atom: -968.3

DFT (PBE-GGA) results for Dy2LuNp after structural relaxation.

Geometry as CIF:
```
data_Dy2LuNp
_chemical_formula_sum 'Dy6 Lu3 Np3'
_space_group_name_H-M_alt 'R -3 m'
_space_group_IT_number 166
_space_group_name_Hall '-R 3 2"'
_cell_length_a 3.3539
_cell_length_b 3.3539
_cell_length_c 36.5016
_cell_angle_alpha 90.00
_cell_angle_beta 90.00
_cell_angle_gamma 120.00
loop_
_atom_site_label
_atom_site_type_symbol
_atom_site_fract_x
_atom_site_fract_y
_atom_site_fract_z
Dy1 Dy 0.0000 0.0000 0.0894
Lu1 Lu 0.0000 0.0000 0.5000
Np1 Np 0.0000 0.0000 0.0000
```

Summary:
Spin magnetization, μB per cell: 14.2
Calculated formation energy, meV per atom: 449.9

DFT (PBE-GGA) results for MgSb2PdC after structural relaxation.

Geometry as CIF:
```
data_MgSb2PdC
_chemical_formula_sum 'Mg1 Sb2 Pd1 C1'
_space_group_name_H-M_alt 'P 4/m m m'
_space_group_IT_number 123
_space_group_name_Hall '-P 4 2'
_cell_length_a 4.817
_cell_length_b 4.817
_cell_length_c 4.082
_cell_angle_alpha 90.00
_cell_angle_beta 90.00
_cell_angle_gamma 90.00
loop_
_atom_site_label
_atom_site_type_symbol
_atom_site_fract_x
_atom_site_fract_y
_atom_site_fract_z
Mg1 Mg 0.000 0.000 0.000
Sb1 Sb 0.000 0.500 0.500
Pd1 Pd 0.500 0.500 0.000
C1 C 0.000 0.000 0.500
```

Summary:
Spin magnetization, μB per cell: 0.0
Uncorrected formation energy, meV per atom: 493

DFT (PBE-GGA) results for La2PmNdTl2 after structural relaxation.

Geometry as CIF:
```
data_La2PmNdTl2
_chemical_formula_sum 'La4 Pm2 Nd2 Tl4'
_space_group_name_H-M_alt 'P m c 21'
_space_group_IT_number 26
_cell_length_a 5.247
_cell_length_b 10.499
_cell_length_c 6.950
_cell_angle_alpha 90.00
_cell_angle_beta 90.00
_cell_angle_gamma 90.00
loop_
_space_group_symop_operation_xyz
'x,y,z'
'-x,-y,z+1/2'
'-x,y,z'
'x,-y,z+1/2'
loop_
_atom_site_label
_atom_site_type_symbol
_atom_site_fract_x
_atom_site_fract_y
_atom_site_fract_z
La1 La 0.000 0.058 0.000
La2 La 0.500 0.179 0.222
Pm1 Pm 0.000 0.308 0.589
Nd1 Nd 0.500 0.457 0.864
Tl1 Tl 0.000 0.380 0.126
Tl2 Tl 0.500 0.142 0.708
```

Summary:
Spin magnetization, μB per cell: 0.0
Calculated formation energy, meV per atom: -291.9

DFT (PBE-GGA) results for Sr2AlCd2Ge4 after structural relaxation.

Geometry as CIF:
```
data_Sr2AlCd2Ge4
_chemical_formula_sum 'Sr4 Al2 Cd4 Ge8'
_space_group_name_H-M_alt 'I 4/m m m'
_space_group_IT_number 139
_space_group_name_Hall '-I 4 2'
_cell_length_a 6.793
_cell_length_b 6.793
_cell_length_c 9.408
_cell_angle_alpha 90.00
_cell_angle_beta 90.00
_cell_angle_gamma 90.00
loop_
_atom_site_label
_atom_site_type_symbol
_atom_site_fract_x
_atom_site_fract_y
_atom_site_fract_z
Sr1 Sr 0.000 0.500 0.250
Al1 Al 0.000 0.000 0.000
Cd1 Cd 0.000 0.000 0.287
Ge1 Ge 0.212 0.212 0.500
```

Summary:
Spin magnetization, μB per cell: 0.0
Calculated formation energy, meV per atom: -219.8

DFT (PBE-GGA) results for La5GaS4 after structural relaxation.

Geometry as CIF:
```
data_La5GaS4
_chemical_formula_sum 'La10 Ga2 S8'
_space_group_name_H-M_alt 'I 4/m'
_space_group_IT_number 87
_space_group_name_Hall '-I 4'
_cell_length_a 9.455
_cell_length_b 9.455
_cell_length_c 5.947
_cell_angle_alpha 90.00
_cell_angle_beta 90.00
_cell_angle_gamma 90.00
loop_
_atom_site_label
_atom_site_type_symbol
_atom_site_fract_x
_atom_site_fract_y
_atom_site_fract_z
La1 La 0.000 0.000 0.000
La2 La 0.102 0.306 0.500
Ga1 Ga 0.000 0.000 0.500
S1 S 0.102 0.301 0.000
```

Summary:
Spin magnetization, μB per cell: 0.0
Uncorrected formation energy, meV per atom: -1834

DFT (PBE-GGA) results for ScRh after structural relaxation.

Geometry as CIF:
```
data_ScRh
_chemical_formula_sum 'Sc6 Rh6'
_space_group_name_H-M_alt 'C 1 m 1'
_space_group_IT_number 8
_cell_length_a 9.806
_cell_length_b 3.143
_cell_length_c 7.534
_cell_angle_alpha 90.00
_cell_angle_beta 114.76
_cell_angle_gamma 90.00
loop_
_space_group_symop_operation_xyz
'x,y,z'
'x,-y,z'
'x+1/2,y+1/2,z'
'x+1/2,-y+1/2,z'
loop_
_atom_site_label
_atom_site_type_symbol
_atom_site_fract_x
_atom_site_fract_y
_atom_site_fract_z
Sc1 Sc 0.000 0.000 0.000
Sc2 Sc 0.122 0.500 0.708
Sc3 Sc 0.279 0.500 0.372
Rh1 Rh 0.044 0.000 0.364
Rh2 Rh 0.285 0.000 0.061
Rh3 Rh 0.345 0.000 0.695
```

Summary:
Spin magnetization, μB per cell: 0.0
Calculated formation energy, meV per atom: -800.5

DFT (PBE-GGA) results for Pr3Tm3Th2 after structural relaxation.

Geometry as CIF:
```
data_Pr3Tm3Th2
_chemical_formula_sum 'Pr6 Tm6 Th4'
_space_group_name_H-M_alt 'I m m m'
_space_group_IT_number 71
_space_group_name_Hall '-I 2 2'
_cell_length_a 5.046
_cell_length_b 5.092
_cell_length_c 20.517
_cell_angle_alpha 90.00
_cell_angle_beta 90.00
_cell_angle_gamma 90.00
loop_
_atom_site_label
_atom_site_type_symbol
_atom_site_fract_x
_atom_site_fract_y
_atom_site_fract_z
Pr1 Pr 0.000 0.000 0.000
Pr2 Pr 0.000 0.500 0.128
Tm1 Tm 0.000 0.000 0.500
Tm2 Tm 0.000 0.500 0.372
Th1 Th 0.000 0.000 0.249
```

Summary:
Spin magnetization, μB per cell: 0.0
Calculated formation energy, meV per atom: 35.7

DFT (PBE-GGA) results for YFeRe2 after structural relaxation.

Geometry as CIF:
```
data_YFeRe2
_chemical_formula_sum 'Y2 Fe2 Re4'
_space_group_name_H-M_alt 'C 1 2/m 1'
_space_group_IT_number 12
_cell_length_a 5.426
_cell_length_b 9.408
_cell_length_c 2.778
_cell_angle_alpha 90.00
_cell_angle_beta 111.07
_cell_angle_gamma 90.00
loop_
_space_group_symop_operation_xyz
'x,y,z'
'-x,-y,-z'
'-x,y,-z'
'x,-y,z'
'x+1/2,y+1/2,z'
'-x+1/2,-y+1/2,-z'
'-x+1/2,y+1/2,-z'
'x+1/2,-y+1/2,z'
loop_
_atom_site_label
_atom_site_type_symbol
_atom_site_fract_x
_atom_site_fract_y
_atom_site_fract_z
Y1 Y 0.000 0.000 0.000
Fe1 Fe 0.000 0.500 0.000
Re1 Re 0.250 0.250 0.500
```

Summary:
Spin magnetization, μB per cell: 4.8
Offset from the most stable computed form, meV/atom: 258
Calculated formation energy, meV per atom: 436.0

DFT (PBE-GGA) results for ThScMnCo after structural relaxation.

Geometry as CIF:
```
data_ThScMnCo
_chemical_formula_sum 'Th4 Sc4 Mn4 Co4'
_space_group_name_H-M_alt 'F -4 3 m'
_space_group_IT_number 216
_space_group_name_Hall 'F -4 2 3'
_cell_length_a 6.645
_cell_length_b 6.645
_cell_length_c 6.645
_cell_angle_alpha 90.00
_cell_angle_beta 90.00
_cell_angle_gamma 90.00
loop_
_atom_site_label
_atom_site_type_symbol
_atom_site_fract_x
_atom_site_fract_y
_atom_site_fract_z
Th1 Th 0.000 0.000 0.000
Sc1 Sc 0.000 0.000 0.500
Mn1 Mn 0.250 0.250 0.250
Co1 Co 0.250 0.250 0.750
```

Summary:
Spin magnetization, μB per cell: 6.4
Calculated formation energy, meV per atom: -17.2

DFT (PBE-GGA) results for NaCr2Tc2 after structural relaxation.

Geometry as CIF:
```
data_NaCr2Tc2
_chemical_formula_sum 'Na2 Cr4 Tc4'
_space_group_name_H-M_alt 'I 4/m m m'
_space_group_IT_number 139
_space_group_name_Hall '-I 4 2'
_cell_length_a 3.991
_cell_length_b 3.991
_cell_length_c 10.682
_cell_angle_alpha 90.00
_cell_angle_beta 90.00
_cell_angle_gamma 90.00
loop_
_atom_site_label
_atom_site_type_symbol
_atom_site_fract_x
_atom_site_fract_y
_atom_site_fract_z
Na1 Na 0.000 0.000 0.000
Cr1 Cr 0.000 0.500 0.250
Tc1 Tc 0.000 0.000 0.373
```

Summary:
Spin magnetization, μB per cell: 0.0
Offset from the most stable computed form, meV/atom: 141
Calculated formation energy, meV per atom: 623.2

DFT (PBE-GGA) results for CuNi3Br after structural relaxation.

Geometry as CIF:
```
data_CuNi3Br
_chemical_formula_sum 'Cu1 Ni3 Br1'
_space_group_name_H-M_alt 'P m -3 m'
_space_group_IT_number 221
_space_group_name_Hall '-P 4 2 3'
_cell_length_a 4.415
_cell_length_b 4.415
_cell_length_c 4.415
_cell_angle_alpha 90.00
_cell_angle_beta 90.00
_cell_angle_gamma 90.00
loop_
_atom_site_label
_atom_site_type_symbol
_atom_site_fract_x
_atom_site_fract_y
_atom_site_fract_z
Cu1 Cu 0.000 0.000 0.000
Ni1 Ni 0.000 0.000 0.500
Br1 Br 0.500 0.500 0.500
```

Summary:
Spin magnetization, μB per cell: 2.0
Offset from the most stable computed form, meV/atom: 130
Uncorrected formation energy, meV per atom: 1059

DFT (PBE-GGA) results for KNi after structural relaxation.

Geometry as CIF:
```
data_KNi
_chemical_formula_sum 'K4 Ni4'
_space_group_name_H-M_alt 'F m -3 m'
_space_group_IT_number 225
_space_group_name_Hall '-F 4 2 3'
_cell_length_a 6.767
_cell_length_b 6.767
_cell_length_c 6.767
_cell_angle_alpha 90.00
_cell_angle_beta 90.00
_cell_angle_gamma 90.00
loop_
_atom_site_label
_atom_site_type_symbol
_atom_site_fract_x
_atom_site_fract_y
_atom_site_fract_z
K1 K 0.000 0.000 0.000
Ni1 Ni 0.000 0.000 0.500
```

Summary:
Spin magnetization, μB per cell: 4.0
Offset from the most stable computed form, meV/atom: 742
Calculated formation energy, meV per atom: 1254.9

DFT (PBE-GGA) results for VTe2RhN after structural relaxation.

Geometry as CIF:
```
data_VTe2RhN
_chemical_formula_sum 'V1 Te2 Rh1 N1'
_space_group_name_H-M_alt 'P 4/m m m'
_space_group_IT_number 123
_space_group_name_Hall '-P 4 2'
_cell_length_a 5.447
_cell_length_b 5.447
_cell_length_c 3.638
_cell_angle_alpha 90.00
_cell_angle_beta 90.00
_cell_angle_gamma 90.00
loop_
_atom_site_label
_atom_site_type_symbol
_atom_site_fract_x
_atom_site_fract_y
_atom_site_fract_z
V1 V 0.000 0.000 0.000
Te1 Te 0.000 0.500 0.500
Rh1 Rh 0.500 0.500 0.500
N1 N 0.500 0.500 0.000
```

Summary:
Spin magnetization, μB per cell: 2.8
Offset from the most stable computed form, meV/atom: 195
Uncorrected formation energy, meV per atom: 510